[1]
## Pr3ZnBr3 (PBE)

Data for a relaxed structure of Pr3ZnBr3.

Summary:
Formation energy without anion corrections = -1.2146 eV/atom
Fermi-level density of states = 3.001 states/eV/f.u.

a b c (Å): 6.0464 6.0464 6.0464
angles (deg): 90.00 90.00 90.00
With the nearest neighbours (Å) after each atom.
Space group Pm-3m (No. 221)
One atom of each set of equivalent atoms:
Pr (0.0000, 0.0000, 0.5000) [3 per cell]  4 Br 3.02, 2 Zn 3.02
Zn (0.0000, 0.0000, 0.0000) [1 per cell]  6 Pr 3.02
Br (0.0000, 0.5000, 0.5000) [3 per cell]  4 Pr 3.02

***

[2]
## PrZn3Br9 (PBE)

Data for a relaxed structure of PrZn3Br9.

Summary:
Formation energy without anion corrections = -1.1394 eV/atom
Fermi-level density of states = 0.000 states/eV/f.u.

a b c (Å): 19.0561 9.4593 13.6619
angles (deg): 90.00 129.60 90.00
With the nearest neighbours (Å) after each atom.
Space group Cc (No. 9)
One atom of each set of equivalent atoms:
Pr (0.0000, 0.2288, 0.0000) [4 per cell]  6 Br 2.93-2.97
Zn (0.1466, 0.1176, 0.8323) [4 per cell]  4 Br 2.44-2.46
Zn (0.2291, 0.4178, 0.7066) [4 per cell]  4 Br 2.44-2.46
Zn (0.3558, 0.0770, 0.6655) [4 per cell]  4 Br 2.44-2.47
Br (0.0176, 0.0782, 0.8267) [4 per cell]  1 Zn 2.44
Br (0.1157, 0.3445, 0.7260) [4 per cell]  2 Zn 2.44
Br (0.1549, 0.0742, 0.2199) [4 per cell]  1 Zn 2.45
Br (0.1585, 0.3808, 0.0587) [4 per cell]  1 Zn 2.46
Br (0.2339, 0.2499, 0.5737) [4 per cell]  2 Zn 2.44-2.46
Br (0.3027, 0.1360, 0.0346) [4 per cell]  2 Zn 2.44-2.46
Br (0.3679, 0.4949, 0.9140) [4 per cell]  1 Zn 2.45
Br (0.4071, 0.0034, 0.3737) [4 per cell]  1 Zn 2.47
Br (0.4835, 0.1860, 0.6926) [4 per cell]  1 Zn 2.44

***

[3]
## Pr2ZnBr (PBE)

Data for a relaxed structure of Pr2ZnBr.

Summary:
Formation energy without anion corrections = -0.7102 eV/atom
Fermi-level density of states = 4.024 states/eV/f.u.

a b c (Å): 3.8884 3.8884 26.2238
angles (deg): 90.00 90.00 120.00
With the nearest neighbours (Å) after each atom.
Space group R3m (No. 160, hexagonal axes)
One atom of each set of equivalent atoms:
Pr (0.0000, 0.0000, 0.0000) [3 per cell]  3 Zn 3.06, 3 Br 3.23
Pr (0.0000, 0.0000, 0.1756) [3 per cell]  3 Zn 3.05, 3 Br 3.20
Zn (0.0000, 0.0000, 0.5876) [3 per cell]  6 Pr 3.05-3.06
Br (0.0000, 0.0000, 0.7552) [3 per cell]  6 Pr 3.20-3.23

***

[4]
## Pr4Zn2Br5 (PBE)

Data for a relaxed structure of Pr4Zn2Br5.

Summary:
Formation energy without anion corrections = -1.1233 eV/atom
Fermi-level density of states = 5.168 states/eV/f.u.

a b c (Å): 24.6260 3.9702 8.6522
angles (deg): 90.00 98.18 90.00
With the nearest neighbours (Å) after each atom.
Space group C2/m (No. 12)
One atom of each set of equivalent atoms:
Pr (0.0229, 0.0000, 0.2807) [4 per cell]  4 Zn 2.98-3.28, 3 Br 3.05-3.13
Pr (0.1657, 0.5000, 0.4527) [4 per cell]  1 Zn 2.98, 5 Br 3.01-3.13
Zn (0.0522, 0.5000, 0.5350) [4 per cell]  1 Zn 2.55
Br (0.0000, 0.5000, 0.0000) [2 per cell]  4 Pr 3.13
Br (0.1383, 0.0000, 0.1922) [4 per cell]  3 Pr 3.01-3.05
Br (0.2233, 0.0000, 0.6835) [4 per cell]  3 Pr 3.02-3.13

***

[5]
## Pr6ZnBr8 (PBE)

Data for a relaxed structure of Pr6ZnBr8.

Summary:
Formation energy without anion corrections = -1.3802 eV/atom
Fermi-level density of states = 5.223 states/eV/f.u.

a b c (Å): 7.3764 7.3764 32.7916
angles (deg): 90.00 90.00 120.00
With the nearest neighbours (Å) after each atom.
Space group R-3 (No. 148, hexagonal axes)
One atom of each set of equivalent atoms:
Pr (0.0000, 0.3170, 0.0526) [18 per cell]  1 Zn 2.91, 5 Br 3.02-3.14
Zn (0.0000, 0.0000, 0.0000) [3 per cell]  6 Pr 2.91
Br (0.0000, 0.0000, 0.3333) [6 per cell]  6 Pr 3.05
Br (0.0000, 0.3360, 0.8918) [18 per cell]  3 Pr 3.02-3.14

***

[6]
## Pr2Zn2Br (PBE)

Data for a relaxed structure of Pr2Zn2Br.

Summary:
Formation energy without anion corrections = -0.7267 eV/atom
Fermi-level density of states = 4.543 states/eV/f.u.

a b c (Å): 4.4064 4.4064 22.6544
angles (deg): 90.00 90.00 120.00
With the nearest neighbours (Å) after each atom.
Space group R-3m (No. 166, hexagonal axes)
One atom of each set of equivalent atoms:
Pr (0.0000, 0.0000, 0.0837) [6 per cell]  6 Zn 3.12-3.23, 3 Br 3.16
Zn (0.0000, 0.0000, 0.3295) [6 per cell]  3 Zn 2.55
Br (0.0000, 0.0000, 0.5000) [3 per cell]  6 Pr 3.16

***

[7]
## Pr4Zn2Br3 (PBE)

Data for a relaxed structure of Pr4Zn2Br3.

Summary:
Formation energy without anion corrections = -0.9215 eV/atom
Fermi-level density of states = 11.045 states/eV/f.u.

a b c (Å): 7.1894 4.1510 19.3032
angles (deg): 90.00 90.07 90.00
With the nearest neighbours (Å) after each atom.
Space group C2/m (No. 12)
One atom of each set of equivalent atoms:
Pr (0.0010, 0.0000, 0.3042) [4 per cell]  3 Br 3.04, 3 Zn 3.07
Pr (0.1663, 0.5000, 0.8899) [4 per cell]  3 Zn 3.01, 3 Br 3.20
Zn (0.1673, 0.5000, 0.2047) [4 per cell]  6 Pr 3.01-3.07
Br (0.0000, 0.0000, 0.0000) [2 per cell]  6 Pr 3.20
Br (0.1654, 0.5000, 0.5992) [4 per cell]  3 Pr 3.04

***

[8]
## Pr2ZnBr (PBE)

Data for a relaxed structure of Pr2ZnBr.

Summary:
Formation energy without anion corrections = -0.6781 eV/atom
Fermi-level density of states = 3.068 states/eV/f.u.

a b c (Å): 3.6033 3.6033 8.3135
angles (deg): 90.00 90.00 90.00
With the nearest neighbours (Å) after each atom.
Space group P4/mmm (No. 123)
One atom of each set of equivalent atoms:
Pr (0.0000, 0.0000, 0.2260) [2 per cell]  4 Zn 3.17, 4 Br 3.42
Zn (0.5000, 0.5000, 0.0000) [1 per cell]  8 Pr 3.17
Br (0.5000, 0.5000, 0.5000) [1 per cell]  8 Pr 3.42, 4 Br 3.60

***

[9]
## Pr4ZnBr5 (PBE)

Data for a relaxed structure of Pr4ZnBr5.

Summary:
Formation energy without anion corrections = -1.3466 eV/atom
Fermi-level density of states = 3.356 states/eV/f.u.

a b c (Å): 18.9115 4.1004 8.9913
angles (deg): 90.00 102.85 90.00
With the nearest neighbours (Å) after each atom.
Space group C2/m (No. 12)
One atom of each set of equivalent atoms:
Pr (0.0006, 0.0000, 0.2347) [4 per cell]  2 Zn 2.94, 4 Br 3.07-3.16
Pr (0.1561, 0.5000, 0.0803) [4 per cell]  1 Zn 2.88, 5 Br 3.02-3.19
Zn (0.0000, 0.5000, 0.0000) [2 per cell]  6 Pr 2.88-2.94
Br (0.0000, 0.5000, 0.5000) [2 per cell]  4 Pr 3.15
Br (0.1666, 0.0000, 0.3309) [4 per cell]  3 Pr 3.02-3.07
Br (0.1709, 0.0000, 0.8330) [4 per cell]  4 Pr 3.08-3.19

***

[10]
## PtBr (PBE)

Data for a relaxed structure of PtBr.

Summary:
Formation energy without anion corrections = 0.5189 eV/atom
Fermi-level density of states = 1.397 states/eV/f.u.

a b c (Å): 4.2099 4.2099 5.5368
angles (deg): 90.00 90.00 120.00
With the nearest neighbours (Å) after each atom.
Space group P6_3/mmc (No. 194)
One atom of each set of equivalent atoms:
Pt (0.0000, 0.0000, 0.0000) [2 per cell]  2 Pt 2.77, 6 Br 2.80
Br (0.3333, 0.6667, 0.2500) [2 per cell]  6 Pt 2.80